Entry 1:
Compound: Li3Pm2PdO6
Source: Alexandria
Functional: PBE
Structure: relaxed

Computed properties:
total DFT energy (no corrections)	-75.27	eV/f.u.
volume	12.7	Å³/atom

```
Li3Pm2PdO6
1.0
5.916 -0.146 0.090
-3.083 5.051 0.090
-0.871 -1.508 5.120
Li Pm Pd O
3 2 1 6
Direct
0.115 0.885 0.500
0.885 0.115 0.500
0.500 0.500 0.500
0.336 0.664 0.000
0.664 0.336 0.000
0.000 0.000 0.000
0.947 0.646 0.770
0.728 0.728 0.265
0.053 0.354 0.230
0.646 0.947 0.770
0.272 0.272 0.735
0.354 0.053 0.230
```


Entry 2:
Compound: Er12Tl5Ir2
Source: Alexandria
Functional: PBE
Structure: relaxed

Computed properties:
energy relative to the elements	-239	meV/atom
volume	31.1	Å³/atom

```
Er12Tl5Ir2
1.0
-1.637 -6.216 4.008
0.212 -1.323 -9.124
9.208 -0.727 2.634
Er Tl Ir
12 5 2
Direct
0.988 0.976 0.172
0.097 0.673 0.908
0.576 0.673 0.908
0.101 0.702 0.428
0.601 0.702 0.428
0.496 0.992 0.758
0.504 0.008 0.242
0.899 0.298 0.572
0.399 0.298 0.572
0.903 0.327 0.092
0.424 0.327 0.092
0.012 0.024 0.828
0.300 0.600 0.638
0.310 0.621 0.162
0.000 0.000 0.500
0.690 0.379 0.838
0.700 0.400 0.362
0.711 0.000 0.000
0.289 0.000 0.000
```


Entry 3:
Compound: Nd2Dy5HoSc
Source: Alexandria
Functional: PBE
Structure: relaxed

Computed properties:
energy relative to the elements	277	meV/atom
volume	31.7	Å³/atom

```
Nd2Dy5HoSc
1.0
8.475 0.000 0.000
0.000 8.475 0.000
-4.237 -4.237 7.947
Nd Dy Ho Sc
4 10 2 2
Direct
0.121 0.379 0.000
0.621 0.121 0.000
0.379 0.879 0.000
0.879 0.621 0.000
0.932 0.432 0.288
0.645 0.145 0.712
0.068 0.568 0.712
0.145 0.068 0.712
0.568 0.645 0.712
0.855 0.932 0.288
0.432 0.355 0.288
0.355 0.855 0.288
0.500 0.500 0.000
0.000 0.000 0.000
0.250 0.250 0.500
0.750 0.750 0.500
0.250 0.750 0.500
0.750 0.250 0.500
```


Entry 4:
Compound: LiCaCd5Ag2
Source: Alexandria
Functional: PBE
Structure: relaxed

Computed properties:
energy relative to the elements	-10	meV/atom
volume	24.8	Å³/atom

```
LiCaCd5Ag2
1.0
-4.904 1.216 -1.282
-1.347 -0.126 5.034
1.800 7.974 0.682
Li Ca Cd Ag
1 1 5 2
Direct
0.000 0.000 0.000
0.000 0.000 0.500
0.000 0.500 0.252
0.500 0.000 0.252
0.000 0.500 0.748
0.500 0.000 0.748
0.500 0.500 0.500
0.500 0.500 0.159
0.500 0.500 0.841
```


Entry 5:
Compound: Mo2Se
Source: Alexandria
Functional: PBE
Structure: relaxed

Computed properties:
total DFT energy (no corrections)	-23.49	eV/f.u.
volume	18.4	Å³/atom

```
Mo2Se
1.0
-3.283 0.721 2.332
1.922 -2.276 3.410
2.503 5.055 1.962
Mo Se
4 2
Direct
0.000 0.214 0.620
0.000 0.786 0.380
0.500 0.714 0.880
0.500 0.286 0.120
0.000 0.000 0.000
0.500 0.500 0.500
```


Entry 6:
Compound: HoTm6Tl2
Source: Alexandria
Functional: PBE
Structure: relaxed

Computed properties:
energy relative to the elements	-144	meV/atom
volume	29.0	Å³/atom

```
HoTm6Tl2
1.0
-0.052 3.570 0.955
-6.313 1.654 0.625
-2.295 -1.166 11.383
Ho Tm Tl
1 6 2
Direct
0.000 0.000 0.000
0.684 0.509 0.124
0.316 0.491 0.876
0.312 0.794 0.583
0.986 0.682 0.345
0.014 0.318 0.655
0.688 0.206 0.417
0.357 0.078 0.208
0.643 0.922 0.792
```


Entry 7:
Compound: V2Ru3W
Source: Alexandria
Functional: PBE
Structure: relaxed

Computed properties:
energy relative to the elements	-142	meV/atom
volume	14.1	Å³/atom

```
V2Ru3W
1.0
2.901 0.000 0.000
0.000 2.901 0.000
0.000 0.000 10.075
V Ru W
2 3 1
Direct
0.500 0.500 0.841
0.500 0.500 0.159
0.000 0.000 0.000
0.000 0.000 0.690
0.000 0.000 0.310
0.500 0.500 0.500
```


Entry 8:
Compound: NbSBrN2
Source: Alexandria
Functional: PBE
Structure: relaxed

Computed properties:
total DFT energy (no corrections)	-22.53	eV/f.u.
volume	14.1	Å³/atom

```
NbSBrN2
1.0
3.903 0.000 0.000
0.000 3.903 0.000
0.000 0.000 4.633
Nb S Br N
1 1 1 2
Direct
0.500 0.500 0.500
0.000 0.000 0.500
0.000 0.000 0.000
0.000 0.500 0.000
0.500 0.000 0.000
```